First-principles (GGA-PBE) data for a geometry-optimized ZrVAg structure, as listed in Alexandria.

Values from the calculation:
The density comes out at 7.6 g/cm3. The calculation puts the total moment at 0.00 Bohr magnetons per cell. The calculation puts the density of states at the Fermi level at 0.700 states/eV/atom. The value obtained for the formation energy is -0.010 eV per atom.

Cell lengths 3.1006, 3.1006, 11.3166 Å; angles 90.00, 90.00, 90.00 degrees
Fractional coordinates of all 6 atoms:
Zr1 0.2500 0.2500 0.2221
Zr2 0.7500 0.7500 0.7779
V1 0.2500 0.2500 0.9436
V2 0.7500 0.7500 0.0564
Ag1 0.2500 0.2500 0.5850
Ag2 0.7500 0.7500 0.4150

=====

First-principles (GGA-PBE) data for a geometry-optimized MgCdCl2 structure, as listed in Alexandria.

Values from the calculation:
Its relative energy among the computed polymorphs is 0.187 eV per atom. The density comes out at 3.1 g/cm3. The calculation puts the uncorrected formation energy at -1.0783 eV/atom. The calculation puts the total moment at 0.00 Bohr magnetons per cell.

Cell lengths 5.7369, 3.5785, 6.0841 Å; angles 90.00, 115.19, 90.00 degrees
Fractional coordinates of all 4 atoms:
Mg1 0.0000 0.0000 0.0000
Cd1 0.3094 0.5000 0.8235
Cl1 0.5895 0.0000 0.6575
Cl2 0.9460 0.5000 0.2445

=====

First-principles (GGA-PBE) data for a geometry-optimized Pm8YEr6 structure, as listed in Alexandria.

Values from the calculation:
Its relative energy among the computed polymorphs is 0.048 eV per atom. The density comes out at 7.5 g/cm3. The calculation puts the total moment at 0.00 Bohr magnetons per cell. The calculation puts the density of states at the Fermi level at 1.497 states/eV/atom. The value obtained for the formation energy is 0.177 eV per atom.

Cell lengths 9.3969, 9.3969, 6.5276 Å; angles 90.00, 90.00, 120.00 degrees
Fractional coordinates of all 15 atoms:
Pm1 0.0362 0.7482 0.1649
Pm2 0.2518 0.2880 0.1649
Pm3 0.2880 0.0362 0.8351
Pm4 0.3333 0.6667 0.1205
Pm5 0.6667 0.3333 0.8795
Pm6 0.7120 0.9638 0.1649
Pm7 0.7482 0.7120 0.8351
Pm8 0.9638 0.2518 0.8351
Y1 0.0000 0.0000 0.5000
Er1 0.0943 0.6566 0.6574
Er2 0.3434 0.4376 0.6574
Er3 0.4376 0.0943 0.3426
Er4 0.5624 0.9057 0.6574
Er5 0.6566 0.5624 0.3426
Er6 0.9057 0.3434 0.3426

=====

First-principles (GGA-PBE) data for a geometry-optimized ZrTlSb2 structure, as listed in Alexandria.

Values from the calculation:
Its relative energy among the computed polymorphs is 0.111 eV per atom. The density comes out at 7.3 g/cm3. The calculation puts the uncorrected formation energy at -0.1697 eV/atom. The calculation puts the total moment at 0.00 Bohr magnetons per cell. The calculation puts the density of states at the Fermi level at 0.388 states/eV/atom.

Cell lengths 9.0262, 9.0262, 9.0262 Å; angles 156.38, 155.44, 34.34 degrees
Fractional coordinates of all 4 atoms:
Zr1 0.0000 0.0000 0.0000
Tl1 0.7614 0.2614 0.5000
Sb1 0.1354 0.6354 0.5000
Sb2 0.4288 0.4288 0.0000

=====

First-principles (GGA-PBE) data for a geometry-optimized Ag4P2S7 structure, as listed in Alexandria.

Values from the calculation:
The density comes out at 4.1 g/cm3. The calculation puts the uncorrected formation energy at -0.1667 eV/atom. The calculation puts the total moment at 0.00 Bohr magnetons per cell. The calculation puts the density of states at the Fermi level at 0.000 states/eV/atom.

Cell lengths 6.3980, 6.3980, 16.4892 Å; angles 103.54, 103.54, 62.53 degrees
Fractional coordinates of all 26 atoms:
Ag1 0.0374 0.4487 0.6648
Ag2 0.1808 0.7340 0.9436
Ag3 0.2660 0.8192 0.5564
Ag4 0.4487 0.0374 0.1648
Ag5 0.5513 0.9626 0.8352
Ag6 0.7340 0.1808 0.4436
Ag7 0.8192 0.2660 0.0564
Ag8 0.9626 0.5513 0.3352
P1 0.0666 0.7185 0.1434
P2 0.2815 0.9334 0.3566
P3 0.7185 0.0666 0.6434
P4 0.9334 0.2815 0.8566
S1 0.0040 0.9960 0.2500
S2 0.0646 0.4247 0.1762
S3 0.0984 0.2401 0.4320
S4 0.2401 0.0984 0.9320
S5 0.3499 0.6378 0.4031
S6 0.3622 0.6501 0.0969
S7 0.4247 0.0646 0.6762
S8 0.5753 0.9354 0.3238
S9 0.6378 0.3499 0.9031
S10 0.6501 0.3622 0.5969
S11 0.7599 0.9016 0.0680
S12 0.9016 0.7599 0.5680
S13 0.9354 0.5753 0.8238
S14 0.9960 0.0040 0.7500

=====

First-principles (GGA-PBE) data for a geometry-optimized Er2AgTe6Pb3 structure, as listed in Alexandria.

Values from the calculation:
The density comes out at 7.8 g/cm3. The calculation puts the uncorrected formation energy at -0.6441 eV/atom. The calculation puts the total moment at 0.00 Bohr magnetons per cell. The calculation puts the density of states at the Fermi level at 0.326 states/eV/atom.

Cell lengths 10.1560, 10.1560, 9.0889 Å; angles 103.34, 103.34, 25.15 degrees
Fractional coordinates of all 12 atoms:
Er1 0.1663 0.1663 0.3379
Er2 0.8337 0.8337 0.6621
Ag1 0.5000 0.5000 0.0000
Te1 0.0095 0.0095 0.2319
Te2 0.3267 0.3267 0.8945
Te3 0.3289 0.3289 0.4235
Te4 0.6711 0.6711 0.5765
Te5 0.6733 0.6733 0.1055
Te6 0.9905 0.9905 0.7681
Pb1 0.1590 0.1590 0.8430
Pb2 0.5000 0.5000 0.5000
Pb3 0.8410 0.8410 0.1570